Record 1
Density functional theory data (PBE) for a relaxed structure of Mn2TcRu.

Unit cell a=4.0128 b=2.6429 c=4.9546 alpha=74.47 beta=90.00 gamma=90.00
Each line ends with the local moment (μB).
Element x y z (fractional)
Mn  0.5000  0.0662  0.2419  0.86
Mn  0.0000  0.1815  0.0121  -0.81
Ru  0.0000  0.4512  0.4721  -0.03
Tc  0.5000  0.8012  0.7739  0.04

Calculated values
M_tot   0.06 μB/cell
Calculated formation energy   0.04 eV/atom
Space group   Amm2, No. 38

Record 2
Density functional theory data (PBE) for a relaxed structure of HoVSi.

Unit cell a=3.7803 b=4.2762 c=4.2762 alpha=120.00 beta=90.00 gamma=90.00
Each line ends with the local moment (μB).
Element x y z (fractional)
V  0.1666  0.6667  0.3333  1.87
Si  0.1666  0.0000  0.0000  -0.07
Ho  0.6667  0.3333  0.6667  0.04

Calculated values
Energy relative to the elements, uncorrected   -229 meV/atom
M_tot   2.06 μB/cell
Space group   P-6m2, No. 187

Record 3
Density functional theory data (PBE) for a relaxed structure of LiZrMn2V.

Unit cell a=4.1736 b=4.0351 c=4.1736 alpha=90.00 beta=90.00 gamma=90.00
Each line ends with the local moment (μB).
Element x y z (fractional)
Mn  0.0000  0.0000  0.5000  0.33
Mn  0.5000  0.0000  0.0000  0.28
Zr  0.5000  0.5000  0.5000  -0.01
V  0.0000  0.5000  0.0000  0.79
Li  0.0000  0.0000  0.0000  0.06

Calculated values
M_tot   1.51 μB/cell
Calculated formation energy   1.01 eV/atom
Space group   P4/mmm, No. 123

Record 4
Density functional theory data (PBE) for a relaxed structure of Li2PrAsO.

Unit cell a=6.0117 b=6.0117 c=6.4140 alpha=117.95 beta=117.95 gamma=90.00
Element x y z (fractional)
Li  0.6897  0.1897  0.0001
Li  0.8105  0.6897  0.0001
Li  0.1897  0.3105  0.0001
Li  0.3105  0.8105  0.0001
As  0.7499  0.2499  0.4999
As  0.2499  0.7499  0.4999
Pr  0.2501  0.2501  0.5002
Pr  0.7501  0.7501  0.5002
O  0.0001  0.0001  0.0001
O  0.5001  0.5001  0.0001

Calculated values
Energy relative to the elements, uncorrected   -1648 meV/atom
M_tot   0.00 μB/cell
Space group   I4/mcm, No. 140

Record 5
Density functional theory data (PBE) for a relaxed structure of LiWCl6.

Unit cell a=6.6854 b=6.6854 c=6.1723 alpha=92.52 beta=92.52 gamma=116.76
Each line ends with the local moment (μB).
Element x y z (fractional)
Cl  0.2715  0.2715  0.8014  0.01
Cl  0.2817  0.9924  0.2357  0.01
Cl  0.7183  0.0076  0.7643  0.01
Cl  0.9924  0.2817  0.2357  0.01
Cl  0.0076  0.7183  0.7643  0.01
Cl  0.7285  0.7285  0.1986  0.01
Li  0.0000  0.0000  0.5000  0.00
W  0.0000  0.0000  0.0000  0.77

Calculated values
Energy relative to the elements, uncorrected   -1060 meV/atom
M_tot   1.00 μB/cell
Space group   C2/m, No. 12

Record 6
Density functional theory data (PBE) for a relaxed structure of Li2TmSbO4.

Unit cell a=4.5870 b=4.5870 c=5.8388 alpha=114.15 beta=114.15 gamma=89.05
Element x y z (fractional)
Li  0.9909  0.0091  0.0000
Li  0.2522  0.7478  0.5000
Tm  0.5077  0.4923  0.0000
O  0.7405  0.7850  0.4659
O  0.2150  0.2595  0.5341
O  0.0064  0.4693  0.9934
O  0.5307  0.9936  0.0066
Sb  0.7567  0.2433  0.5000

Calculated values
Energy relative to the elements, uncorrected   -2194 meV/atom
M_tot   0.00 μB/cell
Space group   C2, No. 5

Record 7
Density functional theory data (PBE) for a relaxed structure of LiCaSeO4.

Unit cell a=6.4977 b=6.2721 c=6.2721 alpha=57.89 beta=58.80 gamma=58.80
Each line ends with the local moment (μB).
Element x y z (fractional)
O  0.7250  0.2992  0.2508  0.03
O  0.2492  0.7358  0.2358  0.09
O  0.7508  0.2642  0.7642  0.09
O  0.2750  0.7008  0.7492  0.03
O  0.2207  0.2642  0.7642  0.09
O  0.2750  0.2492  0.2008  0.03
O  0.7250  0.7508  0.7992  0.03
O  0.7793  0.7358  0.2358  0.09
Li  0.0000  0.0000  0.0000  0.01
Li  0.0000  0.5000  0.5000  0.01
Se  0.6019  0.6481  0.1481  0.05
Se  0.3981  0.3519  0.8519  0.05
Ca  0.0000  0.0000  0.5000  0.00
Ca  0.5000  0.0000  0.5000  0.00

Calculated values
Energy relative to the elements, uncorrected   -1534 meV/atom
M_tot   0.70 μB/cell
Space group   Imma, No. 74

Record 8
Density functional theory data (PBE) for a relaxed structure of Sm12ZnCo6.

Unit cell a=8.5150 b=8.5150 c=8.5150 alpha=109.47 beta=109.47 gamma=109.47
Element x y z (fractional)
Sm  0.3035  0.4972  0.1936
Sm  0.1099  0.8064  0.3035
Sm  0.4972  0.1936  0.3035
Sm  0.5028  0.8064  0.6965
Sm  0.6965  0.5028  0.8064
Sm  0.8064  0.3035  0.1099
Sm  0.8064  0.6965  0.5028
Sm  0.3035  0.1099  0.8064
Sm  0.1936  0.6965  0.8901
Sm  0.1936  0.3035  0.4972
Sm  0.6965  0.8901  0.1936
Sm  0.8901  0.1936  0.6965
Zn  0.0000  0.0000  0.0000
Co  0.5000  0.1124  0.6124
Co  0.8876  0.3876  0.5000
Co  0.3876  0.5000  0.8876
Co  0.1124  0.6124  0.5000
Co  0.5000  0.8876  0.3876
Co  0.6124  0.5000  0.1124

Calculated values
M_tot   0.00 μB/cell
Calculated formation energy   -0.13 eV/atom
Space group   Im-3, No. 204

Record 9
Density functional theory data (PBE) for a relaxed structure of Sr2MgCdNi.

Unit cell a=5.6833 b=5.6833 c=4.9788 alpha=90.00 beta=90.00 gamma=90.00
Element x y z (fractional)
Ni  0.0000  0.0000  0.0000
Sr  0.0000  0.5000  0.0000
Sr  0.5000  0.0000  0.0000
Mg  0.0000  0.0000  0.5000
Cd  0.5000  0.5000  0.5000

Calculated values
M_tot   0.00 μB/cell
Calculated formation energy   -0.06 eV/atom
Space group   P4/mmm, No. 123

Record 10
Density functional theory data (PBE) for a relaxed structure of CsCaBi.

Unit cell a=4.5128 b=4.5128 c=7.7668 alpha=106.89 beta=106.89 gamma=90.00
Element x y z (fractional)
Ca  0.2643  0.2643  0.5286
Bi  0.7247  0.7247  0.4494
Cs  0.0110  0.0110  0.0220

Calculated values
M_tot   0.00 μB/cell
Calculated formation energy   -0.46 eV/atom
Space group   I4mm, No. 107

Record 11
Density functional theory data (PBE) for a relaxed structure of NbOF3.

Unit cell a=5.3569 b=5.3569 c=5.3569 alpha=137.43 beta=134.49 gamma=64.07
Element x y z (fractional)
F  0.7896  0.7896  0.0000
F  0.2104  0.2104  0.0000
F  0.5000  0.0000  0.5000
Nb  0.0000  0.0000  0.0000
O  0.0000  0.5000  0.5000

Calculated values
Energy relative to the elements, uncorrected   -2822 meV/atom
M_tot   0.04 μB/cell
Space group   Immm, No. 71

Record 12
Density functional theory data (PBE) for a relaxed structure of Th2PdRu.

Unit cell a=3.5505 b=3.5505 c=7.3618 alpha=90.00 beta=90.00 gamma=90.00
Element x y z (fractional)
Th  0.0000  0.0000  0.7644
Th  0.0000  0.0000  0.2356
Ru  0.5000  0.5000  0.0000
Pd  0.5000  0.5000  0.5000

Calculated values
M_tot   0.00 μB/cell
Calculated formation energy   -0.51 eV/atom
Space group   P4/mmm, No. 123